Entry 1:
Computed, not measured: a relaxed structure of AcTm2Mn at the GGA-PBE level of DFT.

Properties
* E: -4.93 eV/atom
* energy above the most stable polymorph in this dataset: 0.489 eV/atom

Geometry as POSCAR:
```
AcTm2Mn
1.0
3.519 0.000 0.000
1.759 3.047 0.000
1.759 1.016 11.538
Mn Ac Tm
1 1 2
Direct
0.000 0.000 0.000
0.500 0.500 0.500
0.921 0.921 0.238
0.079 0.079 0.762
```

Entry 2:
Computed, not measured: a relaxed structure of CaTbNd4Se8 at the GGA-PBE level of DFT.

Properties
* E: -5.63 eV/atom
* ΔE_f (raw): -1.80 eV/atom

Geometry as POSCAR:
```
CaTbNd4Se8
1.0
8.684 0.000 0.000
4.342 7.521 0.000
4.342 2.507 7.038
Nd Se Tb Ca
4 8 1 1
Direct
0.002 0.494 0.502
0.624 0.624 0.128
0.002 0.002 0.502
0.494 0.002 0.502
0.223 0.763 0.251
0.763 0.763 0.251
0.758 0.758 0.727
0.776 0.238 0.749
0.238 0.238 0.749
0.242 0.242 0.273
0.763 0.223 0.251
0.238 0.776 0.749
0.002 0.002 0.993
0.376 0.376 0.873
```

Entry 3:
Computed, not measured: a relaxed structure of CaTb2ScTe4 at the GGA-PBE level of DFT.

Properties
* E: -5.09 eV/atom
* ΔE_f (raw): -1.32 eV/atom

Geometry as POSCAR:
```
CaTb2ScTe4
1.0
-0.723 1.355 4.041
2.065 -6.779 2.642
7.410 0.030 1.316
Te Sc Tb Ca
4 1 2 1
Direct
0.500 0.746 0.244
0.000 0.740 0.760
0.000 0.260 0.240
0.500 0.254 0.756
0.500 0.500 0.000
0.500 0.000 0.500
0.000 0.000 0.000
0.000 0.500 0.500
```

Entry 4:
Computed, not measured: a relaxed structure of SrZr2Zn at the GGA-PBE level of DFT.

Properties
* E: -4.66 eV/atom

Geometry as POSCAR:
```
SrZr2Zn
1.0
3.273 0.000 0.000
0.000 5.301 0.000
0.000 0.000 5.776
Zr Sr Zn
2 1 1
Direct
0.500 0.500 0.000
0.000 0.000 0.000
0.500 0.000 0.500
0.000 0.500 0.500
```

Entry 5:
Computed, not measured: a relaxed structure of NpAlAg at the GGA-PBE level of DFT.

Properties
* E: -6.43 eV/atom

Geometry as POSCAR:
```
NpAlAg
1.0
-2.130 1.312 1.497
-1.984 -1.573 -1.446
2.420 -4.653 4.681
Ag Al Np
1 1 1
Direct
0.684 0.684 0.368
0.322 0.322 0.645
0.993 0.993 0.987
```

Entry 6:
Computed, not measured: a relaxed structure of AcDy2Y3 at the GGA-PBE level of DFT.

Properties
* E: -5.35 eV/atom
* energy above the most stable polymorph in this dataset: 0.000 eV/atom

Geometry as POSCAR:
```
AcDy2Y3
1.0
-6.085 -2.312 -1.909
0.829 -4.569 4.945
-2.810 6.959 5.127
Dy Y Ac
4 6 2
Direct
0.870 0.379 0.126
0.130 0.621 0.874
0.621 0.130 0.374
0.379 0.870 0.626
0.352 0.176 0.006
0.176 0.352 0.506
0.648 0.824 0.994
0.824 0.648 0.494
0.417 0.583 0.250
0.583 0.417 0.750
0.077 0.923 0.250
0.923 0.077 0.750
```